Record 1
Here is LiYSe at its PBEsol-relaxed geometry from Alexandria. Energies are from meta-GGA SCAN.

Cell: 6.067 6.067 6.067 Å, 90.00 90.00 90.00°
Space group F-43m (No. 216)
Inequivalent atoms, fractional coordinates:
Li 0.000 0.000 0.000
Y 0.250 0.250 0.750
Se 0.250 0.250 0.250

## Properties
Size of the total moment   0.00 μB/atom
DOS(E_F)   0.469 states/eV/atom
Crystal system   cubic
Volume   223.3 Å³ per cell
Formation energy from raw total energies   -56.4 kJ/mol of atoms
Total energy   -208.3 eV/cell

Record 2
Here is Li4MgSc at its PBEsol-relaxed geometry from Alexandria. Energies are from meta-GGA SCAN.

Cell: 7.734 7.734 7.734 Å, 90.00 90.00 90.00°
Space group F-43m (No. 216)
Inequivalent atoms, fractional coordinates:
Li 0.125 0.125 0.125
Mg 0.250 0.250 0.750
Sc 0.000 0.000 0.500

## Properties
Size of the total moment   0.02 μB/atom
DOS(E_F)   0.512 states/eV/atom
Formation energy   83.5 meV per atom
Crystal system   cubic
Volume   462.6 Å³ per cell
Total energy   -113.1 eV/cell

Record 3
Here is K3NaN at its PBEsol-relaxed geometry from Alexandria. Energies are from meta-GGA SCAN.

Cell: 5.673 5.673 5.673 Å, 90.00 90.00 90.00°
Space group Pm-3m (No. 221)
Inequivalent atoms, fractional coordinates:
K 0.000 0.000 0.500
Na 0.500 0.500 0.500
N 0.000 0.000 0.000

## Properties
Size of the total moment   0.20 μB/atom
DOS(E_F)   0.840 states/eV/atom
Crystal system   cubic
Volume   182.5 Å³ per cell
Formation energy from raw total energies   35.7 kJ/mol of atoms
Total energy   -36.6 eV/cell

Record 4
Here is Si2PtPb at its PBEsol-relaxed geometry from Alexandria. Energies are from meta-GGA SCAN.

Cell: 3.9850 3.9850 17.2199 Å, 90.00 90.00 120.00°
Space group R-3m (No. 166, hexagonal axes)
Inequivalent atoms, fractional coordinates:
Si 0.0000 0.0000 0.2154
Pt 0.0000 0.0000 0.5000
Pb 0.0000 0.0000 0.0000

## Properties
Size of the total moment   0.00 μB/atom
DOS(E_F)   0.301 states/eV/atom
Crystal system   trigonal
Volume   236.8 Å³ per cell
Formation energy from raw total energies   -16.6 kJ/mol of atoms
Total energy   -500.1 eV/cell

Record 5
Here is AlRe2Tc at its PBEsol-relaxed geometry from Alexandria. Energies are from meta-GGA SCAN.

Cell: 4.379 4.379 2.959 Å, 90.00 90.00 90.00°
Space group P4/mmm (No. 123)
Inequivalent atoms, fractional coordinates:
Al 0.000 0.000 0.000
Re 0.000 0.500 0.500
Tc 0.500 0.500 0.000

## Properties
Size of the total moment   0.00 μB/atom
DOS(E_F)   0.714 states/eV/atom
Formation energy   -43.1 meV per atom
Crystal system   tetragonal
Volume   56.7 Å³ per cell
Total energy   -185.2 eV/cell

Record 6
Here is GaSi2AsH24C8 at its PBEsol-relaxed geometry from Alexandria. Energies are from meta-GGA SCAN.

Cell: 9.225 9.664 9.863 Å, 77.38 80.84 64.08°
Space group P-1 (No. 2)
Inequivalent atoms, fractional coordinates:
Ga 0.031 0.144 0.074
Si 0.172 0.145 0.668
Si 0.277 0.684 0.238
As 0.028 0.878 0.160
H 0.001 0.293 0.467
H 0.076 0.088 0.472
H 0.102 0.423 0.682
H 0.123 0.694 0.734
H 0.160 0.574 0.901
H 0.177 0.485 0.368
H 0.206 0.185 0.410
H 0.235 0.461 0.190
H 0.236 0.731 0.485
H 0.250 0.247 0.041
H 0.259 0.292 0.792
H 0.265 0.696 0.837
H 0.297 0.081 0.176
H 0.303 0.329 0.608
H 0.330 0.845 0.372
H 0.339 0.055 0.998
H 0.342 0.862 0.668
H 0.386 0.396 0.311
H 0.398 0.926 0.800
H 0.413 0.655 0.000
H 0.445 0.409 0.871
H 0.445 0.641 0.428
H 0.445 0.795 0.069
H 0.461 0.973 0.622
C 0.107 0.181 0.488
C 0.149 0.689 0.841
C 0.213 0.313 0.689
C 0.252 0.129 0.071
C 0.267 0.489 0.281
C 0.325 0.730 0.396
C 0.360 0.959 0.692
C 0.437 0.682 0.095

## Properties
Size of the total moment   0.00 μB/atom
DOS(E_F)   0.000 states/eV/atom
Crystal system   triclinic
Volume   769.7 Å³ per cell
Total energy   -455.5 eV/cell

Record 7
Here is CoBr at its PBEsol-relaxed geometry from Alexandria. Energies are from meta-GGA SCAN.

Cell: 3.159 3.159 3.159 Å, 90.00 90.00 90.00°
Space group Pm-3m (No. 221)
Inequivalent atoms, fractional coordinates:
Co 0.000 0.000 0.000
Br 0.500 0.500 0.500

## Properties
Size of the total moment   1.00 μB/atom
DOS(E_F)   1.490 states/eV/atom
Crystal system   cubic
Volume   31.5 Å³ per cell
Formation energy from raw total energies   74.3 kJ/mol of atoms
Total energy   -35.2 eV/cell
Excess energy over the best structure of this formula in the dataset   686 meV per atom

Record 8
Here is Si2PW at its PBEsol-relaxed geometry from Alexandria. Energies are from meta-GGA SCAN.

Cell: 2.877 2.877 6.822 Å, 90.00 90.00 90.00°
Space group P4/mmm (No. 123)
Inequivalent atoms, fractional coordinates:
Si 0.000 0.000 0.244
P 0.500 0.500 0.500
W 0.500 0.500 0.000

## Properties
Size of the total moment   0.00 μB/atom
DOS(E_F)   0.626 states/eV/atom
Crystal system   tetragonal
Volume   56.5 Å³ per cell
Formation energy from raw total energies   56.7 kJ/mol of atoms
Total energy   -97.8 eV/cell